# 1
A plane-wave DFT calculation with PBE was carried out for an optimized crystal structure of La5GeRu2.

Properties
For the formation energy, the calculation gives -0.45 eV per atom. For the electronic total energy, the calculation gives -6.42 eV per atom. The density of states at the Fermi level is 14.1 states/eV/cell.

Geometry as CIF:
```
data_La5GeRu2
_chemical_formula_sum 'La10 Ge2 Ru4'
_space_group_name_H-M_alt 'P 1'
_space_group_IT_number 1
_cell_length_a 8.8765
_cell_length_b 8.8765
_cell_length_c 8.8765
_cell_angle_alpha 126.77
_cell_angle_beta 126.77
_cell_angle_gamma 78.63
loop_
_space_group_symop_operation_xyz
'x,y,z'
loop_
_atom_site_label
_atom_site_type_symbol
_atom_site_fract_x
_atom_site_fract_y
_atom_site_fract_z
La1 La 0.0000 0.0000 0.0000
La2 La 0.0268 0.5268 0.8294
La3 La 0.1974 0.0268 0.5000
La4 La 0.3026 0.8026 0.8294
La5 La 0.4732 0.3026 0.5000
La6 La 0.5000 0.5000 0.0000
La7 La 0.5268 0.6974 0.5000
La8 La 0.6974 0.1974 0.1706
La9 La 0.8026 0.9732 0.5000
La10 La 0.9732 0.4732 0.1706
Ge1 Ge 0.2500 0.2500 0.0000
Ge2 Ge 0.7500 0.7500 0.0000
Ru1 Ru 0.1395 0.3605 0.5000
Ru2 Ru 0.3605 0.8605 0.2211
Ru3 Ru 0.6395 0.1395 0.7789
Ru4 Ru 0.8605 0.6395 0.5000
```


# 2
A plane-wave DFT calculation with PBE was carried out for an optimized crystal structure of La8GeRu2.

Properties
For the formation energy, the calculation gives -0.25 eV per atom. For the electronic total energy, the calculation gives -5.94 eV per atom. The density of states at the Fermi level is 11.7 states/eV/cell.

Geometry as CIF:
```
data_La8GeRu2
_chemical_formula_sum 'La8 Ge1 Ru2'
_space_group_name_H-M_alt 'P 1'
_space_group_IT_number 1
_cell_length_a 7.9135
_cell_length_b 7.9135
_cell_length_c 6.6504
_cell_angle_alpha 101.55
_cell_angle_beta 101.55
_cell_angle_gamma 116.08
loop_
_space_group_symop_operation_xyz
'x,y,z'
loop_
_atom_site_label
_atom_site_type_symbol
_atom_site_fract_x
_atom_site_fract_y
_atom_site_fract_z
La1 La 0.0000 0.0000 0.0000
La2 La 0.1584 0.5700 0.1993
La3 La 0.2676 0.9959 0.5946
La4 La 0.4477 0.7168 0.8076
La5 La 0.5700 0.1584 0.1993
La6 La 0.7086 0.7086 0.3933
La7 La 0.7168 0.4477 0.8076
La8 La 0.9959 0.2676 0.5946
Ge1 Ge 0.3569 0.3569 0.9836
Ru1 Ru 0.0567 0.6704 0.7008
Ru2 Ru 0.6704 0.0567 0.7008
```


# 3
A plane-wave DFT calculation with PBE was carried out for an optimized crystal structure of LaGe3Ru.

Properties
For the formation energy, the calculation gives -0.12 eV per atom. For the electronic total energy, the calculation gives -5.74 eV per atom. The density of states at the Fermi level is 6.2 states/eV/cell.

Geometry as CIF:
```
data_LaGe3Ru
_chemical_formula_sum 'La1 Ge3 Ru1'
_space_group_name_H-M_alt 'P 1'
_space_group_IT_number 1
_cell_length_a 4.8323
_cell_length_b 4.8323
_cell_length_c 4.8323
_cell_angle_alpha 90.00
_cell_angle_beta 90.00
_cell_angle_gamma 90.00
loop_
_space_group_symop_operation_xyz
'x,y,z'
loop_
_atom_site_label
_atom_site_type_symbol
_atom_site_fract_x
_atom_site_fract_y
_atom_site_fract_z
La1 La 0.0000 0.0000 0.0000
Ge1 Ge 0.0000 0.5000 0.5000
Ge2 Ge 0.5000 0.0000 0.5000
Ge3 Ge 0.5000 0.5000 0.0000
Ru1 Ru 0.5000 0.5000 0.5000
```